Density functional theory data (PBE) for crystalline Sc2GaReP at its relaxed geometry.

a b c (Å): 4.925 4.925 4.544
angles (deg): 90.00 90.00 90.00
Fractional positions:
Sc: 0.000 0.500 0.000
Sc: 0.500 0.000 0.000
Ga: 0.000 0.000 0.000
Re: 0.000 0.000 0.500
P: 0.500 0.500 0.500

Calculated values
energy of formation	674.9	meV per atom
V	22.05	Å³ per atom
mass density	5.7	g/cm3
DOS at the Fermi energy	4.67	states/eV/cell
space group	P4/mmm (123)